Below is a PBEsol-optimized structure of MgBe2As, with properties calculated at the meta-GGA SCAN level.

a b c (Å): 6.1113 6.1113 6.1113
angles (deg): 90.00 90.00 90.00
Closest atoms and distances in Å follow each position.
Space group Fm-3m (No. 225)
One atom of each set of equivalent atoms:
Mg (0.0000, 0.0000, 0.0000)  8 Be 2.65
Be (0.2500, 0.2500, 0.2500)  4 As 2.65, 4 Mg 2.65
As (0.0000, 0.0000, 0.5000)  8 Be 2.65

The energy relative to the elements comes out at 188 kJ/mol of formula units.


Below is a PBEsol-optimized structure of MgBeAs2, with properties calculated at the meta-GGA SCAN level.

a b c (Å): 3.3705 3.3705 20.2917
angles (deg): 90.00 90.00 120.00
Closest atoms and distances in Å follow each position.
Space group R-3m (No. 166, hexagonal axes)
One atom of each set of equivalent atoms:
Mg (0.0000, 0.0000, 0.0000)  6 As 2.79
Be (0.0000, 0.0000, 0.5000)  6 As 2.39
As (0.0000, 0.0000, 0.2351)  3 Be 2.39

The energy relative to the elements comes out at -35 kJ/mol of formula units. The calculation puts the distance to the lowest polymorph of the same formula at 0.000 eV/atom.


Below is a PBEsol-optimized structure of MgBeAs2, with properties calculated at the meta-GGA SCAN level.

a b c (Å): 3.3861 3.4858 11.6726
angles (deg): 90.00 90.00 90.00
Closest atoms and distances in Å follow each position.
Space group Imm2 (No. 44)
One atom of each set of equivalent atoms:
Mg (0.0000, 0.0000, 0.0000)  6 As 2.75-2.81
Be (0.0000, 0.5000, 0.2602)  6 As 2.34-2.52
As (0.0000, 0.0000, 0.6214)  2 Be 2.34
As (0.0000, 0.5000, 0.8181)  4 Be 2.52, 2 Mg 2.75

The energy relative to the elements comes out at 7 kJ/mol of formula units. The calculation puts the distance to the lowest polymorph of the same formula at 0.109 eV/atom.


Below is a PBEsol-optimized structure of MgBe3As, with properties calculated at the meta-GGA SCAN level.

a b c (Å): 4.3957 4.3957 4.3957
angles (deg): 90.00 90.00 90.00
Closest atoms and distances in Å follow each position.
Space group Pm-3m (No. 221)
One atom of each set of equivalent atoms:
Mg (0.0000, 0.0000, 0.0000)  6 Be 2.20
Be (0.0000, 0.0000, 0.5000)  2 Mg 2.20
As (0.5000, 0.5000, 0.5000)  12 Be 3.11

The energy relative to the elements comes out at 766 kJ/mol of formula units.


Below is a PBEsol-optimized structure of MgBeAs2, with properties calculated at the meta-GGA SCAN level.

a b c (Å): 6.4627 6.4627 6.4627
angles (deg): 90.00 90.00 90.00
Closest atoms and distances in Å follow each position.
Space group F-43m (No. 216)
One atom of each set of equivalent atoms:
Mg (0.0000, 0.0000, 0.0000)  4 Be 2.80, 4 As 2.80
Be (0.2500, 0.2500, 0.2500)  4 As 2.80, 4 Mg 2.80
As (0.0000, 0.0000, 0.5000)  4 As 2.80, 4 Be 2.80
As (0.2500, 0.2500, 0.7500)  4 As 2.80, 4 Mg 2.80

The energy relative to the elements comes out at 153 kJ/mol of formula units. The calculation puts the distance to the lowest polymorph of the same formula at 0.488 eV/atom.


Below is a PBEsol-optimized structure of Be2MoAsP, with properties calculated at the meta-GGA SCAN level.

a b c (Å): 4.3721 4.3721 4.6489
angles (deg): 90.00 90.00 90.00
Closest atoms and distances in Å follow each position.
Space group P4/mmm (No. 123)
One atom of each set of equivalent atoms:
Be (0.0000, 0.5000, 0.0000)  2 Mo 2.19
Mo (0.0000, 0.0000, 0.0000)  4 Be 2.19, 2 As 2.32
As (0.0000, 0.0000, 0.5000)  2 Mo 2.32
P (0.5000, 0.5000, 0.5000)  4 As 3.09, 8 Be 3.19

The energy relative to the elements comes out at 627 kJ/mol of formula units.


Below is a PBEsol-optimized structure of BeMoAs2Se, with properties calculated at the meta-GGA SCAN level.

a b c (Å): 4.3098 4.3098 4.6533
angles (deg): 90.00 90.00 90.00
Closest atoms and distances in Å follow each position.
Space group P4/mmm (No. 123)
One atom of each set of equivalent atoms:
Be (0.0000, 0.0000, 0.0000)  4 As 2.15, 2 Se 2.33
Mo (0.5000, 0.5000, 0.5000)  4 Se 3.05, 8 As 3.17
As (0.0000, 0.5000, 0.0000)  2 Be 2.15
Se (0.0000, 0.0000, 0.5000)  2 Be 2.33

The calculation puts the uncorrected formation energy at 0.773 eV per atom.


Below is a PBEsol-optimized structure of BeMoAsSe2, with properties calculated at the meta-GGA SCAN level.

a b c (Å): 4.8389 4.8389 4.8625
angles (deg): 90.00 90.00 90.00
Closest atoms and distances in Å follow each position.
Space group P4/mmm (No. 123)
One atom of each set of equivalent atoms:
Be (0.0000, 0.0000, 0.0000)  4 As 3.42, 8 Se 3.43
Mo (0.5000, 0.5000, 0.5000)  4 Se 2.42, 2 As 2.43
As (0.5000, 0.5000, 0.0000)  2 Mo 2.43
Se (0.0000, 0.5000, 0.5000)  2 Mo 2.42

The calculation puts the uncorrected formation energy at 0.807 eV per atom.


Total magnetization? In order: 0.000 0.001 0.000 0.000 0.000 0.000 3.103 0.000 μB/f.u..